The following is a DFT calculation (PBE) of a relaxed structure of AcCd2RuO6.

a b c (Å): 5.964 5.964 4.948
angles (deg): 90.00 90.00 90.00
Element x y z (fractional)
Ac: 0.000 0.000 0.000
Cd: 0.000 0.500 0.366
Cd: 0.500 0.000 0.366
Ru: 0.500 0.500 0.027
O: 0.000 0.000 0.524
O: 0.283 0.283 0.153
O: 0.283 0.717 0.153
O: 0.500 0.500 0.678
O: 0.717 0.283 0.153
O: 0.717 0.717 0.153

Properties
* raw total energy: -58.0 eV for the cell shown
* size of the total moment: 0.681 μB/cell
* formation energy without anion corrections: -1.30 eV per atom
* volume: 17.6 A^3/atom

=====

The following is a DFT calculation (PBE) of a relaxed structure of AcCd2Ru2O7.

a b c (Å): 9.782 9.782 9.782
angles (deg): 157.39 35.95 152.42
Element x y z (fractional)
Ac: 0.000 0.000 0.000
Cd: 0.171 0.455 0.716
Cd: 0.738 0.455 0.284
Ru: 0.406 0.010 0.396
Ru: 0.615 0.010 0.604
O: 0.170 0.577 0.593
O: 0.230 0.947 0.283
O: 0.438 0.540 0.897
O: 0.630 0.130 0.500
O: 0.643 0.540 0.103
O: 0.664 0.947 0.717
O: 0.984 0.577 0.407

Properties
* raw total energy: -75.5 eV for the cell shown
* size of the total moment: 0.317 μB/cell
* formation energy without anion corrections: -1.36 eV per atom
* volume: 13.9 A^3/atom

=====

The following is a DFT calculation (PBE) of a relaxed structure of Ac2CdSO8.

a b c (Å): 5.478 5.478 6.355
angles (deg): 90.00 90.00 120.00
Element x y z (fractional)
Ac: 0.333 0.667 0.332
Ac: 0.667 0.333 0.668
Cd: 0.000 0.000 0.000
S: 0.000 0.000 0.500
O: 0.145 0.291 0.655
O: 0.145 0.855 0.655
O: 0.291 0.145 0.345
O: 0.333 0.667 0.989
O: 0.667 0.333 0.011
O: 0.709 0.855 0.655
O: 0.855 0.145 0.345
O: 0.855 0.709 0.345

Properties
* raw total energy: -71.8 eV for the cell shown
* size of the total moment: 2.005 μB/cell
* formation energy without anion corrections: -1.57 eV per atom
* volume: 13.8 A^3/atom

=====

The following is a DFT calculation (PBE) of a relaxed structure of Ac2ScCdO6.

a b c (Å): 5.893 6.119 10.219
angles (deg): 90.00 124.89 90.00
Element x y z (fractional)
Ac: 0.235 0.055 0.248
Ac: 0.235 0.445 0.748
Ac: 0.765 0.555 0.252
Ac: 0.765 0.945 0.752
Sc: 0.500 0.000 0.000
Sc: 0.500 0.500 0.500
Cd: 0.000 0.000 0.500
Cd: 0.000 0.500 0.000
O: 0.158 0.188 0.949
O: 0.158 0.312 0.449
O: 0.256 0.712 0.942
O: 0.256 0.788 0.442
O: 0.365 0.044 0.761
O: 0.365 0.456 0.261
O: 0.635 0.544 0.739
O: 0.635 0.956 0.239
O: 0.744 0.212 0.558
O: 0.744 0.288 0.058
O: 0.842 0.688 0.551
O: 0.842 0.812 0.051

Properties
* raw total energy: -144.8 eV for the cell shown
* size of the total moment: 2.014 μB/cell
* formation energy without anion corrections: -2.72 eV per atom
* volume: 15.1 A^3/atom

=====

The following is a DFT calculation (PBE) of a relaxed structure of Ac2CdSeO8.

a b c (Å): 5.608 5.608 6.375
angles (deg): 90.00 90.00 120.00
Element x y z (fractional)
Ac: 0.333 0.667 0.335
Ac: 0.667 0.333 0.665
Cd: 0.000 0.000 0.000
Se: 0.000 0.000 0.500
O: 0.153 0.305 0.667
O: 0.153 0.847 0.667
O: 0.305 0.153 0.333
O: 0.333 0.667 0.998
O: 0.667 0.333 0.002
O: 0.695 0.847 0.667
O: 0.847 0.153 0.333
O: 0.847 0.695 0.333

Properties
* raw total energy: -70.0 eV for the cell shown
* size of the total moment: 2.000 μB/cell
* formation energy without anion corrections: -1.47 eV per atom
* volume: 14.5 A^3/atom

=====

The following is a DFT calculation (PBE) of a relaxed structure of AcCdSe2O6.

a b c (Å): 7.382 7.382 7.382
angles (deg): 45.27 45.27 45.27
Element x y z (fractional)
Ac: 0.000 0.000 0.000
Cd: 0.500 0.500 0.500
Se: 0.219 0.219 0.219
Se: 0.781 0.781 0.781
O: 0.012 0.757 0.461
O: 0.243 0.539 0.988
O: 0.461 0.012 0.757
O: 0.539 0.988 0.243
O: 0.757 0.461 0.012
O: 0.988 0.243 0.539

Properties
* raw total energy: -55.9 eV for the cell shown
* size of the total moment: 1.052 μB/cell
* formation energy without anion corrections: -1.42 eV per atom
* volume: 18.5 A^3/atom

=====

The following is a DFT calculation (PBE) of a relaxed structure of AcCdSe2O8.

a b c (Å): 5.671 5.671 7.588
angles (deg): 90.00 90.00 120.00
Element x y z (fractional)
Ac: 0.000 0.000 0.000
Cd: 0.000 0.000 0.500
Se: 0.333 0.667 0.218
Se: 0.667 0.333 0.782
O: 0.162 0.324 0.277
O: 0.162 0.838 0.277
O: 0.324 0.162 0.723
O: 0.333 0.667 0.995
O: 0.667 0.333 0.005
O: 0.676 0.838 0.277
O: 0.838 0.162 0.723
O: 0.838 0.676 0.723

Properties
* raw total energy: -67.0 eV for the cell shown
* size of the total moment: 0.000 μB/cell
* formation energy without anion corrections: -1.28 eV per atom
* volume: 17.6 A^3/atom

=====

The following is a DFT calculation (PBE) of a relaxed structure of AcCd3Se4O12.

a b c (Å): 7.171 7.171 7.171
angles (deg): 105.46 105.46 105.46
Element x y z (fractional)
Ac: 0.000 0.000 0.000
Cd: 0.000 0.567 0.433
Cd: 0.433 0.000 0.567
Cd: 0.567 0.433 0.000
Se: 0.104 0.500 0.896
Se: 0.500 0.500 0.500
Se: 0.500 0.896 0.104
Se: 0.896 0.104 0.500
O: 0.001 0.667 0.766
O: 0.047 0.953 0.500
O: 0.234 0.333 0.999
O: 0.333 0.999 0.234
O: 0.340 0.660 0.500
O: 0.500 0.047 0.953
O: 0.500 0.340 0.660
O: 0.660 0.500 0.340
O: 0.667 0.766 0.001
O: 0.766 0.001 0.667
O: 0.953 0.500 0.047
O: 0.999 0.234 0.333

Properties
* raw total energy: -98.9 eV for the cell shown
* size of the total moment: 0.000 μB/cell
* formation energy without anion corrections: -0.93 eV per atom
* volume: 16.0 A^3/atom

=====

The following is a DFT calculation (PBE) of a relaxed structure of Ac2CdSiO6.

a b c (Å): 5.560 5.560 4.650
angles (deg): 90.00 90.00 90.00
Element x y z (fractional)
Ac: 0.000 0.500 0.000
Ac: 0.500 0.000 0.000
Cd: 0.000 0.000 0.539
Si: 0.500 0.500 0.557
O: 0.000 0.000 0.071
O: 0.282 0.282 0.659
O: 0.282 0.718 0.659
O: 0.500 0.500 0.197
O: 0.718 0.282 0.659
O: 0.718 0.718 0.659

Properties
* raw total energy: -71.1 eV for the cell shown
* size of the total moment: 0.000 μB/cell
* formation energy without anion corrections: -2.68 eV per atom
* volume: 14.4 A^3/atom

=====

The following is a DFT calculation (PBE) of a relaxed structure of AcCdSiO4.

a b c (Å): 6.704 6.704 6.704
angles (deg): 126.49 108.59 94.96
Element x y z (fractional)
Ac: 0.000 0.000 0.000
Ac: 0.500 0.000 0.500
Cd: 0.500 0.000 0.000
Cd: 0.500 0.500 0.500
Si: 0.123 0.373 0.750
Si: 0.877 0.627 0.250
O: 0.153 0.726 0.428
O: 0.202 0.274 0.928
O: 0.235 0.260 0.525
O: 0.235 0.710 0.975
O: 0.765 0.290 0.025
O: 0.765 0.740 0.475
O: 0.798 0.726 0.072
O: 0.847 0.274 0.572

Properties
* raw total energy: -93.2 eV for the cell shown
* size of the total moment: 0.000 μB/cell
* formation energy without anion corrections: -2.33 eV per atom
* volume: 15.3 A^3/atom

=====

The following is a DFT calculation (PBE) of a relaxed structure of Ac2CdSnO6.

a b c (Å): 5.910 6.147 10.295
angles (deg): 90.00 124.82 90.00
Element x y z (fractional)
Ac: 0.234 0.054 0.249
Ac: 0.234 0.446 0.749
Ac: 0.766 0.554 0.251
Ac: 0.766 0.946 0.751
Cd: 0.000 0.000 0.500
Cd: 0.000 0.500 0.000
Sn: 0.500 0.000 0.000
Sn: 0.500 0.500 0.500
O: 0.160 0.186 0.949
O: 0.160 0.314 0.449
O: 0.256 0.716 0.939
O: 0.256 0.784 0.439
O: 0.370 0.043 0.764
O: 0.370 0.457 0.264
O: 0.630 0.543 0.736
O: 0.630 0.957 0.236
O: 0.744 0.216 0.561
O: 0.744 0.284 0.061
O: 0.840 0.686 0.551
O: 0.840 0.814 0.051

Properties
* raw total energy: -134.4 eV for the cell shown
* size of the total moment: 0.000 μB/cell
* formation energy without anion corrections: -2.43 eV per atom
* volume: 15.4 A^3/atom

=====

The following is a DFT calculation (PBE) of a relaxed structure of SrAc2CdO5.

a b c (Å): 7.102 7.102 6.334
angles (deg): 90.00 90.00 90.00
Element x y z (fractional)
Sr: 0.000 0.000 0.000
Sr: 0.500 0.500 0.000
Ac: 0.173 0.327 0.500
Ac: 0.327 0.827 0.500
Ac: 0.673 0.173 0.500
Ac: 0.827 0.673 0.500
Cd: 0.000 0.500 0.000
Cd: 0.500 0.000 0.000
O: 0.000 0.000 0.500
O: 0.154 0.654 0.243
O: 0.154 0.654 0.757
O: 0.346 0.154 0.243
O: 0.346 0.154 0.757
O: 0.500 0.500 0.500
O: 0.654 0.846 0.243
O: 0.654 0.846 0.757
O: 0.846 0.346 0.243
O: 0.846 0.346 0.757

Properties
* raw total energy: -115.9 eV for the cell shown
* size of the total moment: 0.000 μB/cell
* formation energy without anion corrections: -2.48 eV per atom
* volume: 17.7 A^3/atom